(1)
! ErMg2Pa | Alexandria via LeMat-Bulk | PBE-GGA | relaxed; values from VASP
&SYSTEM
  ibrav = 0, nat = 4, ntyp = 3
/
ATOMIC_SPECIES
Er 167.26 Er.upf
Mg 24.30 Mg.upf
Pa 231.04 Pa.upf
CELL_PARAMETERS angstrom
1.574 0.909 12.258
-1.574 0.909 12.258
0.000 -1.818 12.258
ATOMIC_POSITIONS angstrom
Er 0.000 0.000 0.000
Mg 0.000 0.000 15.145
Mg 0.000 0.000 21.628
Pa 0.000 0.000 18.387
! symmetry	R-3m
! energy above the most stable polymorph in this dataset	0.146	eV/atom
! E_form	0.31	eV/atom

***

(2)
! ErMgPa | Alexandria via LeMat-Bulk | PBE-GGA | relaxed; values from VASP
&SYSTEM
  ibrav = 0, nat = 3, ntyp = 3
/
ATOMIC_SPECIES
Er 167.26 Er.upf
Mg 24.30 Mg.upf
Pa 231.04 Pa.upf
CELL_PARAMETERS angstrom
3.255 0.000 0.000
-1.628 2.819 0.000
0.000 0.000 8.594
ATOMIC_POSITIONS angstrom
Er 0.000 0.000 0.000
Mg 1.628 0.940 2.882
Pa 0.000 1.879 5.739
! symmetry	P3m1
! energy above the most stable polymorph in this dataset	0.124	eV/atom
! E_form	0.14	eV/atom